[1]
! CrPb2O5 meta-GGA SCAN single point on PBEsol structure; values from VASP
&SYSTEM
  ibrav = 0, nat = 16, ntyp = 3
/
ATOMIC_SPECIES
Cr 52.00 Cr.upf
Pb 207.20 Pb.upf
O 16.00 O.upf
CELL_PARAMETERS angstrom
5.653 0.000 0.000
0.000 7.110 -0.082
-2.827 -2.745 6.368
ATOMIC_POSITIONS angstrom
Cr 0.000 0.206 2.165
Cr 2.827 4.159 4.121
Pb 0.000 -0.987 6.124
Pb 2.827 5.352 0.162
Pb 0.000 3.550 1.781
Pb 2.827 0.815 4.506
O 1.425 3.555 -0.041
O 4.228 3.555 -0.041
O -1.497 3.233 4.432
O 1.330 1.132 1.854
O 4.324 1.132 1.854
O 1.497 3.233 4.432
O 2.827 -1.576 5.131
O 0.000 5.941 1.155
O 0.000 -0.192 3.767
O 2.827 4.557 2.519
! - ρ (g/cm3) = 7.12
! - final energy (eV/cell) = -428.5
! - uncorrected formation energy (eV/atom) = -1.645

=====

[2]
! Ba2SrSi meta-GGA SCAN single point on PBEsol structure; values from VASP
&SYSTEM
  ibrav = 0, nat = 4, ntyp = 3
/
ATOMIC_SPECIES
Ba 137.33 Ba.upf
Si 28.09 Si.upf
Sr 87.62 Sr.upf
CELL_PARAMETERS angstrom
3.876 0.000 0.000
0.000 5.249 0.000
-1.938 -2.625 8.497
ATOMIC_POSITIONS angstrom
Ba 1.938 2.625 2.668
Ba 0.000 0.000 5.829
Si 0.000 2.625 0.000
Sr 1.938 0.000 0.000
! - ρ (g/cm3) = 3.75
! - final energy (eV/cell) = -112.0
! - uncorrected formation energy (eV/atom) = -0.141

=====

[3]
! CoNiIr2 meta-GGA SCAN single point on PBEsol structure; values from VASP
&SYSTEM
  ibrav = 0, nat = 4, ntyp = 3
/
ATOMIC_SPECIES
Ni 58.69 Ni.upf
Ir 192.22 Ir.upf
Co 58.93 Co.upf
CELL_PARAMETERS angstrom
-2.619 1.710 -1.802
0.419 -2.277 -2.770
-1.431 -2.010 3.788
ATOMIC_POSITIONS angstrom
Ni -1.100 -0.283 -2.286
Ir 0.000 0.000 0.000
Ir -2.575 -0.292 -0.150
Co -1.056 -2.285 -0.634
! - ρ (g/cm3) = 17.14
! - relative energy among the computed polymorphs (meV/atom) = 2.8
! - final energy (eV/cell) = -175.6
! - ΔH_f (0 K) (eV/atom) = 0.008

=====

Q: What is the final energy in the third record?
A: -175.6 eV/cell

=====

Q: Which of these has the lowest ρ?
A: Ba2SrSi

=====

Q: Which value of final energy does entry 3 give?
A: -175.6 eV/cell

=====

Q: Which value of final energy does entry 2 give?
A: -112.0 eV/cell